# 1
! Pa5AlGa2 GGA-PBE relaxed; values from VASP
! **Calculated formation energy**: -0.163 eV per atom
! **DFT total energy**: -7.32 eV/atom
! **DOS at the Fermi energy**: 27.2 states/eV per cell
&SYSTEM
  ibrav = 0, nat = 16, ntyp = 3
/
ATOMIC_SPECIES
Pa 231.04 Pa.upf
Al 26.98 Al.upf
Ga 69.72 Ga.upf
CELL_PARAMETERS angstrom
4.379 0.000 0.000
0.000 6.345 0.000
0.000 0.000 12.750
ATOMIC_POSITIONS crystal
Pa 0.000 0.000 0.000
Pa 0.000 0.500 0.500
Pa 0.000 0.486 0.760
Pa 0.000 0.514 0.240
Pa 0.000 0.014 0.260
Pa 0.000 0.986 0.740
Pa 0.500 0.240 0.872
Pa 0.500 0.760 0.128
Pa 0.500 0.260 0.372
Pa 0.500 0.740 0.628
Al 0.000 0.000 0.500
Al 0.000 0.500 0.000
Ga 0.500 0.245 0.621
Ga 0.500 0.755 0.379
Ga 0.500 0.255 0.121
Ga 0.500 0.745 0.879

---

# 2
! Pa2Al3Ga3 GGA-PBE relaxed; values from VASP
! **Calculated formation energy**: -0.306 eV per atom
! **DFT total energy**: -5.22 eV/atom
! **DOS at the Fermi energy**: 11.1 states/eV per cell
&SYSTEM
  ibrav = 0, nat = 8, ntyp = 3
/
ATOMIC_SPECIES
Pa 231.04 Pa.upf
Al 26.98 Al.upf
Ga 69.72 Ga.upf
CELL_PARAMETERS angstrom
-0.490 1.671 -3.966
-3.845 -1.912 -0.330
-3.719 6.897 3.365
ATOMIC_POSITIONS crystal
Pa 0.000 0.000 0.748
Pa 0.000 0.000 0.252
Al 0.500 0.500 0.755
Al 0.500 0.500 0.245
Al 0.500 0.000 0.000
Ga 0.500 0.000 0.500
Ga 0.000 0.500 0.000
Ga 0.000 0.500 0.500

---

# 3
! Pa4AlGa4 GGA-PBE relaxed; values from VASP
! **Calculated formation energy**: -0.147 eV per atom
! **DFT total energy**: -6.13 eV/atom
! **DOS at the Fermi energy**: 29.6 states/eV per cell
&SYSTEM
  ibrav = 0, nat = 18, ntyp = 3
/
ATOMIC_SPECIES
Pa 231.04 Pa.upf
Al 26.98 Al.upf
Ga 69.72 Ga.upf
CELL_PARAMETERS angstrom
-0.083 -2.133 5.295
-5.580 -5.645 -2.361
6.118 -5.209 -2.003
ATOMIC_POSITIONS crystal
Pa 0.376 0.444 0.843
Pa 0.876 0.657 0.944
Pa 0.376 0.556 0.157
Pa 0.124 0.056 0.657
Pa 0.624 0.843 0.556
Pa 0.124 0.944 0.343
Pa 0.876 0.343 0.056
Pa 0.624 0.157 0.444
Al 0.000 0.000 0.000
Al 0.500 0.500 0.500
Ga 0.627 0.899 0.182
Ga 0.627 0.101 0.818
Ga 0.127 0.682 0.601
Ga 0.873 0.399 0.682
Ga 0.873 0.601 0.318
Ga 0.373 0.182 0.101
Ga 0.373 0.818 0.899
Ga 0.127 0.318 0.399

---

# 4
! Pa2AlGa8 GGA-PBE relaxed; values from VASP
! **Calculated formation energy**: -0.264 eV per atom
! **DFT total energy**: -4.53 eV/atom
! **DOS at the Fermi energy**: 10.2 states/eV per cell
&SYSTEM
  ibrav = 0, nat = 11, ntyp = 3
/
ATOMIC_SPECIES
Pa 231.04 Pa.upf
Al 26.98 Al.upf
Ga 69.72 Ga.upf
CELL_PARAMETERS angstrom
-2.494 3.641 -0.260
-3.636 -2.505 -0.211
-0.806 0.239 11.052
ATOMIC_POSITIONS crystal
Pa 0.000 0.000 0.311
Pa 0.000 0.000 0.689
Al 0.000 0.000 0.000
Ga 0.000 0.500 0.500
Ga 0.500 0.000 0.500
Ga 0.500 0.500 0.315
Ga 0.500 0.500 0.685
Ga 0.000 0.500 0.129
Ga 0.500 0.000 0.129
Ga 0.000 0.500 0.871
Ga 0.500 0.000 0.871

---

# 5
! Pa2Al3Ga3 GGA-PBE relaxed; values from VASP
! **Calculated formation energy**: -0.307 eV per atom
! **DFT total energy**: -5.22 eV/atom
! **DOS at the Fermi energy**: 11.0 states/eV per cell
&SYSTEM
  ibrav = 0, nat = 8, ntyp = 3
/
ATOMIC_SPECIES
Pa 231.04 Pa.upf
Al 26.98 Al.upf
Ga 69.72 Ga.upf
CELL_PARAMETERS angstrom
4.255 0.000 0.000
0.000 4.304 0.000
0.000 0.000 8.686
ATOMIC_POSITIONS crystal
Pa 0.000 0.000 0.752
Pa 0.000 0.000 0.248
Al 0.500 0.000 0.500
Al 0.000 0.500 0.000
Al 0.000 0.500 0.500
Ga 0.500 0.500 0.741
Ga 0.500 0.500 0.259
Ga 0.500 0.000 0.000

---

# 6
! Pa2AlGa3 GGA-PBE relaxed; values from VASP
! **Calculated formation energy**: -0.317 eV per atom
! **DFT total energy**: -5.62 eV/atom
! **Distance to the lowest polymorph of the same formula**: 0.000 eV per atom
! **DOS at the Fermi energy**: 17.7 states/eV per cell
&SYSTEM
  ibrav = 0, nat = 12, ntyp = 3
/
ATOMIC_SPECIES
Pa 231.04 Pa.upf
Al 26.98 Al.upf
Ga 69.72 Ga.upf
CELL_PARAMETERS angstrom
-1.977 -5.013 -1.589
3.350 2.918 -3.440
6.854 -3.798 3.452
ATOMIC_POSITIONS crystal
Pa 0.667 0.333 0.413
Pa 0.333 0.667 0.587
Pa 0.333 0.667 0.913
Pa 0.667 0.333 0.087
Al 0.000 0.000 0.500
Al 0.000 0.000 0.000
Ga 0.176 0.351 0.250
Ga 0.351 0.176 0.750
Ga 0.824 0.649 0.750
Ga 0.176 0.824 0.250
Ga 0.824 0.176 0.750
Ga 0.649 0.824 0.250

---

# 7
! PaAlGa2 GGA-PBE relaxed; values from VASP
! **Calculated formation energy**: -0.187 eV per atom
! **DFT total energy**: -5.01 eV/atom
! **DOS at the Fermi energy**: 3.8 states/eV per cell
&SYSTEM
  ibrav = 0, nat = 4, ntyp = 3
/
ATOMIC_SPECIES
Pa 231.04 Pa.upf
Al 26.98 Al.upf
Ga 69.72 Ga.upf
CELL_PARAMETERS angstrom
4.363 0.000 0.000
2.181 3.778 0.000
2.181 1.259 4.834
ATOMIC_POSITIONS crystal
Pa 0.000 0.000 0.000
Al 0.500 0.500 0.500
Ga 0.777 0.777 0.669
Ga 0.223 0.223 0.331

---

# 8
! Pa5Al3Ga3 GGA-PBE relaxed; values from VASP
! **Calculated formation energy**: 0.254 eV per atom
! **DFT total energy**: -5.91 eV/atom
! **DOS at the Fermi energy**: 17.2 states/eV per cell
&SYSTEM
  ibrav = 0, nat = 11, ntyp = 3
/
ATOMIC_SPECIES
Pa 231.04 Pa.upf
Al 26.98 Al.upf
Ga 69.72 Ga.upf
CELL_PARAMETERS angstrom
3.014 0.000 0.000
0.000 8.326 -4.807
0.000 0.000 9.614
ATOMIC_POSITIONS crystal
Pa 0.500 0.667 0.333
Pa 0.500 0.333 0.667
Pa 0.500 0.361 0.000
Pa 0.500 0.639 0.639
Pa 0.500 0.000 0.361
Al 0.500 0.846 0.000
Al 0.500 0.154 0.154
Al 0.500 0.000 0.846
Ga 0.000 0.628 0.000
Ga 0.000 0.000 0.628
Ga 0.000 0.372 0.372

---

# 9
! Pa2Al2Ga3 GGA-PBE relaxed; values from VASP
! **Calculated formation energy**: -0.010 eV per atom
! **DFT total energy**: -5.09 eV/atom
! **DOS at the Fermi energy**: 17.2 states/eV per cell
&SYSTEM
  ibrav = 0, nat = 14, ntyp = 3
/
ATOMIC_SPECIES
Pa 231.04 Pa.upf
Al 26.98 Al.upf
Ga 69.72 Ga.upf
CELL_PARAMETERS angstrom
7.321 0.000 0.000
-2.440 6.902 0.000
-2.440 -3.451 5.977
ATOMIC_POSITIONS crystal
Pa 0.000 0.000 0.500
Pa 0.500 0.500 0.500
Pa 0.500 0.000 0.000
Pa 0.000 0.500 0.000
Al 0.000 0.000 0.896
Al 0.500 0.896 0.500
Al 0.104 0.604 0.604
Al 0.396 0.500 0.000
Ga 0.752 0.750 0.002
Ga 0.748 0.250 0.498
Ga 0.998 0.248 0.250
Ga 0.502 0.252 0.750
Ga 0.250 0.002 0.252
Ga 0.750 0.498 0.248

---

# 10
! Pa3AlGa2 GGA-PBE relaxed; values from VASP
! **Calculated formation energy**: -0.114 eV per atom
! **DFT total energy**: -6.49 eV/atom
! **DOS at the Fermi energy**: 19.1 states/eV per cell
&SYSTEM
  ibrav = 0, nat = 12, ntyp = 3
/
ATOMIC_SPECIES
Pa 231.04 Pa.upf
Al 26.98 Al.upf
Ga 69.72 Ga.upf
CELL_PARAMETERS angstrom
-1.180 4.969 0.027
-5.473 -1.264 -6.480
-4.441 -1.076 3.961
ATOMIC_POSITIONS crystal
Pa 0.000 0.000 0.000
Pa 0.500 0.500 0.500
Pa 0.500 0.828 0.739
Pa 0.500 0.172 0.261
Pa 0.000 0.328 0.761
Pa 0.000 0.672 0.239
Al 0.000 0.000 0.500
Al 0.500 0.500 0.000
Ga 0.500 0.828 0.233
Ga 0.000 0.328 0.267
Ga 0.000 0.672 0.733
Ga 0.500 0.172 0.767

---

# 11
! Pa6Al2Ga GGA-PBE relaxed; values from VASP
! **Calculated formation energy**: -0.100 eV per atom
! **DFT total energy**: -7.60 eV/atom
! **DOS at the Fermi energy**: 17.4 states/eV per cell
&SYSTEM
  ibrav = 0, nat = 9, ntyp = 3
/
ATOMIC_SPECIES
Pa 231.04 Pa.upf
Al 26.98 Al.upf
Ga 69.72 Ga.upf
CELL_PARAMETERS angstrom
-0.787 -1.696 -2.461
3.138 -7.101 3.890
-8.314 2.245 1.113
ATOMIC_POSITIONS crystal
Pa 0.000 0.371 0.000
Pa 0.000 0.000 0.371
Pa 0.000 0.629 0.629
Pa 0.500 0.294 0.294
Pa 0.500 0.000 0.706
Pa 0.500 0.706 0.000
Al 0.500 0.333 0.667
Al 0.500 0.667 0.333
Ga 0.000 0.000 0.000

---

# 12
! Pa2AlGa GGA-PBE relaxed; values from VASP
! **Calculated formation energy**: -0.209 eV per atom
! **DFT total energy**: -6.65 eV/atom
! **Distance to the lowest polymorph of the same formula**: 0.002 eV per atom
! **DOS at the Fermi energy**: 11.8 states/eV per cell
&SYSTEM
  ibrav = 0, nat = 8, ntyp = 3
/
ATOMIC_SPECIES
Pa 231.04 Pa.upf
Al 26.98 Al.upf
Ga 69.72 Ga.upf
CELL_PARAMETERS angstrom
6.213 0.000 0.000
3.106 5.380 0.287
3.106 1.340 5.218
ATOMIC_POSITIONS crystal
Pa 0.231 0.269 0.769
Pa 0.269 0.731 0.231
Pa 0.769 0.731 0.231
Pa 0.731 0.269 0.769
Al 0.250 0.215 0.285
Al 0.750 0.785 0.715
Ga 0.750 0.215 0.285
Ga 0.250 0.785 0.715